[1]
Below is a relaxed structure of CsOs3C, with properties calculated at the PBE-GGA level.

The structure in CIF format:
```
data_CsOs3C
_chemical_formula_sum 'Cs1 Os3 C1'
_cell_length_a 4.2967
_cell_length_b 4.2967
_cell_length_c 4.2967
_cell_angle_alpha 90.00
_cell_angle_beta 90.00
_cell_angle_gamma 90.00
_symmetry_space_group_name_H-M 'P 1'
_symmetry_Int_Tables_number 1
loop_
_symmetry_equiv_pos_as_xyz
'x,y,z'
loop_
_atom_site_label
_atom_site_fract_x
_atom_site_fract_y
_atom_site_fract_z
Cs1 0.5000 0.5000 0.5000
C1 0.0000 0.0000 0.0000
Os1 0.0000 0.5000 0.0000
Os2 0.0000 0.0000 0.5000
Os3 0.5000 0.0000 0.0000
```

For the density of states at the Fermi level, the calculation gives 7.62 states/eV per cell. For the offset from the most stable computed form, the calculation gives 0.000 eV/atom. Its formation energy is 1.88 eV per atom. The raw total energy comes out at -34.37 eV for the cell shown. Its volume is 15.865 Å³/atom.



[2]
Below is a relaxed structure of Si2BiC, with properties calculated at the PBE-GGA level.

The structure in CIF format:
```
data_Si2BiC
_chemical_formula_sum 'Si4 Bi2 C2'
_cell_length_a 5.9047
_cell_length_b 5.9047
_cell_length_c 5.8253
_cell_angle_alpha 59.55
_cell_angle_beta 59.55
_cell_angle_gamma 90.00
_symmetry_space_group_name_H-M 'P 1'
_symmetry_Int_Tables_number 1
loop_
_symmetry_equiv_pos_as_xyz
'x,y,z'
loop_
_atom_site_label
_atom_site_fract_x
_atom_site_fract_y
_atom_site_fract_z
C1 0.5000 0.5000 0.0000
C2 0.2500 0.7500 0.5000
Si1 0.5057 0.1250 0.2500
Si2 0.2443 0.6250 0.2500
Si3 0.3750 0.4943 0.7500
Si4 0.8750 0.7557 0.7500
Bi1 0.0000 0.0000 0.0000
Bi2 0.7500 0.2500 0.5000
```

For the density of states at the Fermi level, the calculation gives 3.14 states/eV per cell. For the offset from the most stable computed form, the calculation gives 0.000 eV/atom. The raw total energy comes out at -43.34 eV for the cell shown. Its volume is 17.703 Å³/atom.



[3]
Below is a relaxed structure of Ac3PmNd2, with properties calculated at the PBE-GGA level.

The structure in CIF format:
```
data_Ac3PmNd2
_chemical_formula_sum 'Ac6 Pm2 Nd4'
_cell_length_a 3.9123
_cell_length_b 9.2099
_cell_length_c 13.3779
_cell_angle_alpha 89.51
_cell_angle_beta 90.00
_cell_angle_gamma 90.00
_symmetry_space_group_name_H-M 'P 1'
_symmetry_Int_Tables_number 1
loop_
_symmetry_equiv_pos_as_xyz
'x,y,z'
loop_
_atom_site_label
_atom_site_fract_x
_atom_site_fract_y
_atom_site_fract_z
Ac1 0.7500 0.0929 0.6095
Ac2 0.2500 0.9071 0.3905
Ac3 0.7500 0.6003 0.2504
Ac4 0.2500 0.3997 0.7496
Ac5 0.2500 0.3350 0.0548
Ac6 0.7500 0.6650 0.9452
Pm1 0.2500 0.8137 0.7402
Pm2 0.7500 0.1863 0.2598
Nd1 0.2500 0.3573 0.4498
Nd2 0.7500 0.6427 0.5502
Nd3 0.7500 0.0758 0.8892
Nd4 0.2500 0.9242 0.1108
```

For the density of states at the Fermi level, the calculation gives 18.83 states/eV per cell. For the offset from the most stable computed form, the calculation gives 0.000 eV/atom. Its formation energy is 0.06 eV per atom. The raw total energy comes out at -52.55 eV for the cell shown. Its volume is 40.168 Å³/atom.



no.,total magnetization (μB per formula unit),mass density (Mg/m³)
1,0.00,15.0
2,0.00,6.5
3,0.00,7.7